The following is a SCAN calculation of SiRhO2 at its PBEsol-relaxed geometry, from Alexandria via LeMat-Bulk.

Values from the calculation:
VASP energy   -15.643 eV/atom

Lattice parameters (Å, degrees): 2.633 2.633 9.189 81.76 81.76 60.00
Positions (direct):
Si1 0.500 0.500 0.500
Rh1 0.000 0.000 0.000
O1 0.867 0.867 0.398
O2 0.133 0.133 0.602